No. 1
The following is a PBE calculation of crystalline LiNiP2W at its relaxed geometry, from Alexandria.

Calculated values
Uncorrected energy: -5.623 eV per atom
Energy of formation from the pure elements: 670 meV per atom
Volume: 71.5 Å³/f.u.
Size of the total moment: 1.593 μB/f.u.

CIF file:
```
data_LiNiP2W
_cell_length_a 4.355
_cell_length_b 4.355
_cell_length_c 3.769
_cell_angle_alpha 90.00
_cell_angle_beta 90.00
_cell_angle_gamma 90.00
_symmetry_space_group_name_H-M 'P 4/m m m'
_symmetry_Int_Tables_number 123
_symmetry_space_group_name_Hall '-P 4 2'
loop_
_atom_site_label
_atom_site_type_symbol
_atom_site_fract_x
_atom_site_fract_y
_atom_site_fract_z
Li1 Li 0.000 0.000 0.000
Ni1 Ni 0.000 0.000 0.500
P1 P 0.000 0.500 0.500
W1 W 0.500 0.500 0.000
```

---

No. 2
The following is a PBE calculation of crystalline LiY2Ni12P3 at its relaxed geometry, from Alexandria.

Calculated values
Uncorrected energy: -5.777 eV per atom
Energy of formation from the pure elements: -197 meV per atom
Volume: 238.5 Å³/f.u.
Size of the total moment: 0.000 μB/f.u.

CIF file:
```
data_LiY2Ni12P3
_cell_length_a 8.3909
_cell_length_b 8.3909
_cell_length_c 11.7346
_cell_angle_alpha 90.00
_cell_angle_beta 90.00
_cell_angle_gamma 120.00
_symmetry_space_group_name_H-M 'R -3 m'
_symmetry_Int_Tables_number 166
_symmetry_space_group_name_Hall '-R 3 2"'
loop_
_atom_site_label
_atom_site_type_symbol
_atom_site_fract_x
_atom_site_fract_y
_atom_site_fract_z
Li1 Li 0.0000 0.0000 0.0000
Y1 Y 0.0000 0.0000 0.3473
Ni1 Ni 0.0095 0.5047 0.6831
Ni2 Ni 0.0137 0.5069 0.8841
P1 P 0.0000 0.5000 0.5000
```

---

No. 3
The following is a PBE calculation of crystalline LiZrNiP2 at its relaxed geometry, from Alexandria.

Calculated values
Uncorrected energy: -4.859 eV per atom
Energy of formation from the pure elements: 554 meV per atom
Volume: 77.2 Å³/f.u.
Size of the total moment: 0.000 μB/f.u.

CIF file:
```
data_LiZrNiP2
_cell_length_a 4.162
_cell_length_b 4.162
_cell_length_c 4.457
_cell_angle_alpha 90.00
_cell_angle_beta 90.00
_cell_angle_gamma 90.00
_symmetry_space_group_name_H-M 'P 4/m m m'
_symmetry_Int_Tables_number 123
_symmetry_space_group_name_Hall '-P 4 2'
loop_
_atom_site_label
_atom_site_type_symbol
_atom_site_fract_x
_atom_site_fract_y
_atom_site_fract_z
Li1 Li 0.000 0.000 0.000
Zr1 Zr 0.000 0.000 0.500
Ni1 Ni 0.500 0.500 0.500
P1 P 0.000 0.500 0.000
```

---

No. 4
The following is a PBE calculation of crystalline Li2Pa2Ni15 at its relaxed geometry, from Alexandria.

Calculated values
Uncorrected energy: -6.024 eV per atom
Energy of formation from the pure elements: -259 meV per atom
Energy above the lowest structure with this stoichiometry: 0.000 eV per atom
Volume: 240.2 Å³/f.u.
Size of the total moment: 2.238 μB/f.u.

CIF file:
```
data_Li2Pa2Ni15
_cell_length_a 8.2510
_cell_length_b 8.2510
_cell_length_c 12.2201
_cell_angle_alpha 90.00
_cell_angle_beta 90.00
_cell_angle_gamma 120.00
_symmetry_space_group_name_H-M 'R -3 m'
_symmetry_Int_Tables_number 166
_symmetry_space_group_name_Hall '-R 3 2"'
loop_
_atom_site_label
_atom_site_type_symbol
_atom_site_fract_x
_atom_site_fract_y
_atom_site_fract_z
Li1 Li 0.0000 0.0000 0.0900
Pa1 Pa 0.0000 0.0000 0.3420
Ni1 Ni 0.0000 0.3164 0.0000
Ni2 Ni 0.0000 0.5000 0.5000
Ni3 Ni 0.0027 0.5013 0.1595
```

---

No. 5
The following is a PBE calculation of crystalline Li2PaNi at its relaxed geometry, from Alexandria.

Calculated values
Uncorrected energy: -4.455 eV per atom
Energy of formation from the pure elements: 321 meV per atom
Volume: 72.3 Å³/f.u.
Size of the total moment: 0.409 μB/f.u.

CIF file:
```
data_Li2PaNi
_cell_length_a 2.8792
_cell_length_b 2.8792
_cell_length_c 30.1999
_cell_angle_alpha 90.00
_cell_angle_beta 90.00
_cell_angle_gamma 120.00
_symmetry_space_group_name_H-M 'R -3 m'
_symmetry_Int_Tables_number 166
_symmetry_space_group_name_Hall '-R 3 2"'
loop_
_atom_site_label
_atom_site_type_symbol
_atom_site_fract_x
_atom_site_fract_y
_atom_site_fract_z
Li1 Li 0.0000 0.0000 0.1021
Pa1 Pa 0.0000 0.0000 0.0000
Ni1 Ni 0.0000 0.0000 0.5000
```

---

No. 6
The following is a PBE calculation of crystalline LiPaNi2 at its relaxed geometry, from Alexandria.

Calculated values
Uncorrected energy: -5.838 eV per atom
Energy of formation from the pure elements: -95 meV per atom
Energy above the lowest structure with this stoichiometry: 0.038 eV per atom
Volume: 64.4 Å³/f.u.
Size of the total moment: 0.000 μB/f.u.

CIF file:
```
data_LiPaNi2
_cell_length_a 6.362
_cell_length_b 6.362
_cell_length_c 6.362
_cell_angle_alpha 90.00
_cell_angle_beta 90.00
_cell_angle_gamma 90.00
_symmetry_space_group_name_H-M 'F m -3 m'
_symmetry_Int_Tables_number 225
_symmetry_space_group_name_Hall '-F 4 2 3'
loop_
_atom_site_label
_atom_site_type_symbol
_atom_site_fract_x
_atom_site_fract_y
_atom_site_fract_z
Li1 Li 0.000 0.000 0.000
Pa1 Pa 0.000 0.000 0.500
Ni1 Ni 0.250 0.250 0.250
```